No. 1
The following is a DFT calculation (GGA-PBE) of crystalline Ba2Zn3AgAu12 at its relaxed geometry. Values from VASP.

Values from the calculation:
* symmetry: R-3m (166)
* calculated total energy: -51.196 eV/f.u.

```
&SYSTEM
  ibrav = 0, nat = 18, ntyp = 4
/
ATOMIC_SPECIES
Ba 137.33 Ba.upf
Zn 65.41 Zn.upf
Ag 107.87 Ag.upf
Au 196.97 Au.upf
ATOMIC_POSITIONS crystal
Ba 0.120 0.120 0.120
Ba 0.880 0.880 0.880
Zn 0.000 0.500 0.500
Zn 0.500 0.000 0.500
Zn 0.500 0.500 0.000
Ag 0.500 0.500 0.500
Au 0.121 0.619 0.619
Au 0.142 0.142 0.623
Au 0.142 0.623 0.142
Au 0.377 0.858 0.858
Au 0.381 0.381 0.879
Au 0.381 0.879 0.381
Au 0.619 0.121 0.619
Au 0.619 0.619 0.121
Au 0.623 0.142 0.142
Au 0.858 0.377 0.858
Au 0.858 0.858 0.377
Au 0.879 0.381 0.381
CELL_PARAMETERS angstrom
4.332 2.501 7.046
-4.332 2.501 7.046
0.000 -5.002 7.046
```


No. 2
The following is a DFT calculation (GGA-PBE) of crystalline Ba2Zn4AgAu3 at its relaxed geometry. Values from VASP.

Values from the calculation:
* symmetry: P-4m2 (115)
* calculated total energy: -25.967 eV/f.u.

```
&SYSTEM
  ibrav = 0, nat = 10, ntyp = 4
/
ATOMIC_SPECIES
Ba 137.33 Ba.upf
Zn 65.41 Zn.upf
Ag 107.87 Ag.upf
Au 196.97 Au.upf
ATOMIC_POSITIONS crystal
Ba 0.000 0.500 0.249
Ba 0.500 0.000 0.751
Zn 0.000 0.000 0.500
Zn 0.000 0.500 0.878
Zn 0.500 0.000 0.122
Zn 0.500 0.500 0.500
Ag 0.500 0.500 0.000
Au 0.000 0.000 0.000
Au 0.000 0.500 0.625
Au 0.500 0.000 0.375
CELL_PARAMETERS angstrom
4.718 0.000 0.000
0.000 4.718 0.000
0.000 0.000 10.587
```


No. 3
The following is a DFT calculation (GGA-PBE) of crystalline Ba2Zn4Ag3Au at its relaxed geometry. Values from VASP.

Values from the calculation:
* symmetry: P-4m2 (115)
* calculated total energy: -23.444 eV/f.u.

```
&SYSTEM
  ibrav = 0, nat = 10, ntyp = 4
/
ATOMIC_SPECIES
Ba 137.33 Ba.upf
Zn 65.41 Zn.upf
Ag 107.87 Ag.upf
Au 196.97 Au.upf
ATOMIC_POSITIONS crystal
Ba 0.000 0.500 0.247
Ba 0.500 0.000 0.753
Zn 0.000 0.000 0.500
Zn 0.000 0.500 0.882
Zn 0.500 0.000 0.118
Zn 0.500 0.500 0.500
Ag 0.000 0.000 0.000
Ag 0.000 0.500 0.622
Ag 0.500 0.000 0.378
Au 0.500 0.500 0.000
CELL_PARAMETERS angstrom
4.812 0.000 0.000
0.000 4.812 0.000
0.000 0.000 10.355
```


No. 4
The following is a DFT calculation (GGA-PBE) of crystalline Ba2ZnAg2Au4 at its relaxed geometry. Values from VASP.

Values from the calculation:
* symmetry: I4/mmm (139)
* calculated total energy: -27.445 eV/f.u.

```
&SYSTEM
  ibrav = 0, nat = 9, ntyp = 4
/
ATOMIC_SPECIES
Ba 137.33 Ba.upf
Zn 65.41 Zn.upf
Ag 107.87 Ag.upf
Au 196.97 Au.upf
ATOMIC_POSITIONS crystal
Ba 0.250 0.750 0.500
Ba 0.750 0.250 0.500
Zn 0.000 0.000 0.000
Ag 0.296 0.296 0.000
Ag 0.704 0.704 0.000
Au 0.272 0.272 0.544
Au 0.272 0.728 0.000
Au 0.728 0.272 0.000
Au 0.728 0.728 0.456
CELL_PARAMETERS angstrom
-3.484 3.484 4.642
3.484 -3.484 4.642
3.484 3.484 -4.642
```


No. 5
The following is a DFT calculation (GGA-PBE) of crystalline BeAg2Au2 at its relaxed geometry. Values from VASP.

Values from the calculation:
* relative energy among the computed polymorphs: 169 kJ/mol of formula units
* symmetry: P4/mbm (127)

```
&SYSTEM
  ibrav = 0, nat = 10, ntyp = 3
/
ATOMIC_SPECIES
Be 9.01 Be.upf
Ag 107.87 Ag.upf
Au 196.97 Au.upf
ATOMIC_POSITIONS crystal
Be 0.000 0.000 0.000
Be 0.500 0.500 0.000
Ag 0.155 0.345 0.000
Ag 0.345 0.845 0.000
Ag 0.655 0.155 0.000
Ag 0.845 0.655 0.000
Au 0.162 0.662 0.500
Au 0.338 0.162 0.500
Au 0.662 0.838 0.500
Au 0.838 0.338 0.500
CELL_PARAMETERS angstrom
6.220 0.000 0.000
0.000 6.220 0.000
0.000 0.000 4.449
```


No. 6
The following is a DFT calculation (GGA-PBE) of crystalline Be2AgAu at its relaxed geometry. Values from VASP.

Values from the calculation:
* relative energy among the computed polymorphs: 5 kJ/mol of formula units
* symmetry: P4mm (99)

```
&SYSTEM
  ibrav = 0, nat = 4, ntyp = 3
/
ATOMIC_SPECIES
Be 9.01 Be.upf
Ag 107.87 Ag.upf
Au 196.97 Au.upf
ATOMIC_POSITIONS crystal
Be 0.000 0.000 0.000
Be 0.500 0.500 0.194
Ag 0.000 0.000 0.421
Au 0.500 0.500 0.788
CELL_PARAMETERS angstrom
2.967 0.000 0.000
0.000 2.967 0.000
0.000 0.000 5.957
```


No. 7
The following is a DFT calculation (GGA-PBE) of crystalline Be2AgAu at its relaxed geometry. Values from VASP.

Values from the calculation:
* relative energy among the computed polymorphs: 86 kJ/mol of formula units
* symmetry: R-3m (166)

```
&SYSTEM
  ibrav = 0, nat = 4, ntyp = 3
/
ATOMIC_SPECIES
Be 9.01 Be.upf
Ag 107.87 Ag.upf
Au 196.97 Au.upf
ATOMIC_POSITIONS crystal
Be 0.248 0.248 0.248
Be 0.752 0.752 0.752
Ag 0.000 0.000 0.000
Au 0.500 0.500 0.500
CELL_PARAMETERS angstrom
1.432 0.827 7.733
-1.432 0.827 7.733
0.000 -1.654 7.733
```


No. 8
The following is a DFT calculation (GGA-PBE) of crystalline BeAg2Au2 at its relaxed geometry. Values from VASP.

Values from the calculation:
* relative energy among the computed polymorphs: 72 kJ/mol of formula units
* symmetry: P4/mbm (127)

```
&SYSTEM
  ibrav = 0, nat = 10, ntyp = 3
/
ATOMIC_SPECIES
Be 9.01 Be.upf
Ag 107.87 Ag.upf
Au 196.97 Au.upf
ATOMIC_POSITIONS crystal
Be 0.000 0.000 0.000
Be 0.500 0.500 0.000
Ag 0.164 0.336 0.500
Ag 0.336 0.836 0.500
Ag 0.664 0.164 0.500
Ag 0.836 0.664 0.500
Au 0.158 0.658 0.000
Au 0.342 0.158 0.000
Au 0.658 0.842 0.000
Au 0.842 0.342 0.000
CELL_PARAMETERS angstrom
6.105 0.000 0.000
0.000 6.105 0.000
0.000 0.000 4.662
```